Record 1
A plane-wave DFT calculation with PBEsol was carried out for crystalline Te3Au at its relaxed geometry. Values from VASP.

Cell and atoms, written as Quantum ESPRESSO input:
```
&SYSTEM
  ibrav = 0, nat = 4, ntyp = 2
/
ATOMIC_SPECIES
Te 127.60 Te.upf
Au 196.97 Au.upf
CELL_PARAMETERS angstrom
-0.390 -0.949 -2.903
2.935 -0.927 -0.092
-3.350 -11.013 4.050
ATOMIC_POSITIONS crystal
Te 0.000 0.000 0.215
Te 0.000 0.000 0.785
Au 0.000 0.000 0.000
Te 0.000 0.000 0.500
```

theoretical density = 8.32 g/cm³
energy = -3.589 eV per atom
E_form (uncorrected) = 3.5 kJ/mol of atoms

Record 2
A plane-wave DFT calculation with PBEsol was carried out for crystalline Te3Au at its relaxed geometry. Values from VASP.

Cell and atoms, written as Quantum ESPRESSO input:
```
&SYSTEM
  ibrav = 0, nat = 4, ntyp = 2
/
ATOMIC_SPECIES
Au 196.97 Au.upf
Te 127.60 Te.upf
CELL_PARAMETERS angstrom
-1.908 -2.277 -2.881
4.557 -2.229 -1.256
-2.428 -2.711 3.751
ATOMIC_POSITIONS crystal
Au 0.000 0.000 0.000
Te 0.000 0.500 0.500
Te 0.500 0.781 0.219
Te 0.500 0.219 0.781
```

theoretical density = 9.12 g/cm³
energy = -3.668 eV per atom
E_form (uncorrected) = -4.1 kJ/mol of atoms

Record 3
A plane-wave DFT calculation with PBEsol was carried out for crystalline TeAu at its relaxed geometry. Values from VASP.

Cell and atoms, written as Quantum ESPRESSO input:
```
&SYSTEM
  ibrav = 0, nat = 4, ntyp = 2
/
ATOMIC_SPECIES
Te 127.60 Te.upf
Au 196.97 Au.upf
CELL_PARAMETERS angstrom
-0.698 -0.644 4.409
3.497 -2.719 -0.848
2.945 3.484 0.975
ATOMIC_POSITIONS crystal
Te 0.675 0.325 0.250
Te 0.325 0.675 0.750
Au 0.112 0.888 0.250
Au 0.888 0.112 0.750
```

theoretical density = 11.64 g/cm³
energy = -3.763 eV per atom
E_form (uncorrected) = -3.7 kJ/mol of atoms

Record 4
A plane-wave DFT calculation with PBEsol was carried out for crystalline Te2Au3 at its relaxed geometry. Values from VASP.

Cell and atoms, written as Quantum ESPRESSO input:
```
&SYSTEM
  ibrav = 0, nat = 5, ntyp = 2
/
ATOMIC_SPECIES
Au 196.97 Au.upf
Te 127.60 Te.upf
CELL_PARAMETERS angstrom
4.052 0.000 0.000
2.026 3.509 0.000
2.026 1.170 7.824
ATOMIC_POSITIONS crystal
Au 0.803 0.803 0.592
Te 0.404 0.404 0.789
Au 0.197 0.197 0.408
Te 0.596 0.596 0.211
Au 0.000 0.000 0.000
```

theoretical density = 12.63 g/cm³
energy = -3.751 eV per atom
E_form (uncorrected) = 1.3 kJ/mol of atoms

Record 5
A plane-wave DFT calculation with PBEsol was carried out for crystalline TiTe3Au at its relaxed geometry. Values from VASP.

Cell and atoms, written as Quantum ESPRESSO input:
```
&SYSTEM
  ibrav = 0, nat = 5, ntyp = 3
/
ATOMIC_SPECIES
Te 127.60 Te.upf
Ti 47.87 Ti.upf
Au 196.97 Au.upf
CELL_PARAMETERS angstrom
5.186 0.000 0.000
0.000 5.186 0.000
0.000 0.000 5.186
ATOMIC_POSITIONS crystal
Te 0.000 0.500 0.000
Te 0.000 0.000 0.500
Te 0.500 0.000 0.000
Ti 0.000 0.000 0.000
Au 0.500 0.500 0.500
```

relative energy among the computed polymorphs = 0 kJ/mol of formula units
theoretical density = 7.47 g/cm³
energy = -4.301 eV per atom
E_form (uncorrected) = 25.4 kJ/mol of atoms

Record 6
A plane-wave DFT calculation with PBEsol was carried out for crystalline TiTe3Au at its relaxed geometry. Values from VASP.

Cell and atoms, written as Quantum ESPRESSO input:
```
&SYSTEM
  ibrav = 0, nat = 5, ntyp = 3
/
ATOMIC_SPECIES
Ti 47.87 Ti.upf
Te 127.60 Te.upf
Au 196.97 Au.upf
CELL_PARAMETERS angstrom
5.308 0.000 0.000
0.000 5.308 0.000
0.000 0.000 5.308
ATOMIC_POSITIONS crystal
Ti 0.500 0.500 0.500
Te 0.500 0.000 0.000
Te 0.000 0.000 0.500
Au 0.000 0.000 0.000
Te 0.000 0.500 0.000
```

relative energy among the computed polymorphs = 195 kJ/mol of formula units
theoretical density = 6.97 g/cm³
energy = -3.897 eV per atom
E_form (uncorrected) = 64.4 kJ/mol of atoms

Record 7
A plane-wave DFT calculation with PBEsol was carried out for crystalline YTiTe2Au at its relaxed geometry. Values from VASP.

Cell and atoms, written as Quantum ESPRESSO input:
```
&SYSTEM
  ibrav = 0, nat = 5, ntyp = 4
/
ATOMIC_SPECIES
Ti 47.87 Ti.upf
Au 196.97 Au.upf
Te 127.60 Te.upf
Y 88.91 Y.upf
CELL_PARAMETERS angstrom
-4.350 2.451 -1.467
-2.519 -1.554 4.874
1.858 4.784 2.486
ATOMIC_POSITIONS crystal
Ti 0.500 0.500 0.500
Au 0.500 0.000 0.000
Te 0.000 0.500 0.000
Y 0.000 0.000 0.000
Te 0.000 0.000 0.500
```

theoretical density = 5.78 g/cm³
energy = -4.889 eV per atom
E_form (uncorrected) = 32.3 kJ/mol of atoms

Record 8
A plane-wave DFT calculation with PBEsol was carried out for crystalline Tl2TeAu at its relaxed geometry. Values from VASP.

Cell and atoms, written as Quantum ESPRESSO input:
```
&SYSTEM
  ibrav = 0, nat = 4, ntyp = 3
/
ATOMIC_SPECIES
Tl 204.38 Tl.upf
Au 196.97 Au.upf
Te 127.60 Te.upf
CELL_PARAMETERS angstrom
5.282 0.000 0.000
2.641 4.575 0.000
2.641 1.525 4.313
ATOMIC_POSITIONS crystal
Tl 0.250 0.250 0.250
Au 0.000 0.000 0.000
Te 0.500 0.500 0.500
Tl 0.750 0.750 0.750
```

theoretical density = 11.68 g/cm³
energy = -3.121 eV per atom
E_form (uncorrected) = 5.5 kJ/mol of atoms